(1)
{
  "formula": "LiPuAgO4",
  "functional": "GGA-PBE",
  "state": "relaxed",
  "m_tot_mub_per_cell": 4.000,
  "raw_formation_energy_ev_per_atom": -1.923,
  "spacegroup": "Imma (74)",
  "cell": [[-3.406, 3.491, 4.147], [3.406, -3.491, 4.147], [3.406, 3.491, -4.147]],
  "species": ["Li", "Li", "Pu", "Pu", "Ag", "Ag", "O", "O", "O", "O", "O", "O", "O", "O"],
  "fractional_positions": [[0.500, 0.000, 0.000], [0.500, 0.500, 0.500], [0.000, 0.000, 0.000], [0.500, 0.000, 0.500], [0.164, 0.414, 0.750], [0.836, 0.586, 0.250], [0.253, 0.200, 0.447], [0.253, 0.228, 0.025], [0.253, 0.805, 0.053], [0.297, 0.772, 0.525], [0.703, 0.228, 0.475], [0.747, 0.195, 0.947], [0.747, 0.772, 0.975], [0.747, 0.800, 0.553]]
}

=====

(2)
{
  "formula": "SmMg4Cd",
  "functional": "GGA-PBE",
  "state": "relaxed",
  "delta_e_f_ev_per_fu": 0.07,
  "m_tot_mub_per_cell": 0.000,
  "spacegroup": "F-43m (216)",
  "relative_energy_ev_per_atom": 0.108,
  "cell": [[0.000, 4.218, 4.218], [4.218, 0.000, 4.218], [4.218, 4.218, 0.000]],
  "species": ["Sm", "Mg", "Mg", "Mg", "Mg", "Cd"],
  "fractional_positions": [[0.000, 0.000, 0.000], [0.375, 0.375, 0.375], [0.375, 0.375, 0.876], [0.375, 0.876, 0.375], [0.876, 0.375, 0.375], [0.750, 0.750, 0.750]]
}

=====

(3)
{
  "formula": "LaCeErSn",
  "functional": "GGA-PBE",
  "state": "relaxed",
  "delta_e_f_ev_per_fu": -0.77,
  "m_tot_mub_per_cell": 0.509,
  "spacegroup": "F-43m (216)",
  "cell": [[0.000, 3.870, 3.870], [3.870, 0.000, 3.870], [3.870, 3.870, 0.000]],
  "species": ["La", "Ce", "Er", "Sn"],
  "fractional_positions": [[0.000, 0.000, 0.000], [0.250, 0.250, 0.250], [0.500, 0.500, 0.500], [0.750, 0.750, 0.750]]
}

=====

(4)
{
  "formula": "Tl2TcSe",
  "functional": "GGA-PBE",
  "state": "relaxed",
  "m_tot_mub_per_cell": 0.591,
  "raw_formation_energy_ev_per_atom": 0.186,
  "spacegroup": "Cm (8)",
  "relative_energy_ev_per_atom": 0.124,
  "cell": [[5.201, -1.601, 0.000], [5.201, 1.601, 0.000], [-2.521, 0.000, 6.009]],
  "species": ["Tl", "Tl", "Tc", "Se"],
  "fractional_positions": [[0.000, 0.000, 0.000], [0.175, 0.175, 0.643], [0.431, 0.431, 0.596], [0.841, 0.841, 0.291]]
}

=====

(5)
{
  "formula": "Pm3NdCd3",
  "functional": "GGA-PBE",
  "state": "relaxed",
  "delta_e_f_ev_per_fu": -1.11,
  "m_tot_mub_per_cell": 2.215,
  "spacegroup": "Cmmm (65)",
  "relative_energy_ev_per_atom": 0.000,
  "cell": [[5.427, -5.453, 0.000], [5.427, 5.453, 0.000], [0.000, 0.000, 7.250]],
  "species": ["Pm", "Pm", "Pm", "Pm", "Pm", "Pm", "Nd", "Nd", "Cd", "Cd", "Cd", "Cd", "Cd", "Cd"],
  "fractional_positions": [[0.241, 0.241, 0.000], [0.243, 0.757, 0.000], [0.244, 0.756, 0.500], [0.756, 0.244, 0.500], [0.757, 0.243, 0.000], [0.759, 0.759, 0.000], [0.240, 0.240, 0.500], [0.760, 0.760, 0.500], [0.000, 0.500, 0.249], [0.000, 0.500, 0.751], [0.500, 0.000, 0.249], [0.500, 0.000, 0.751], [0.500, 0.500, 0.248], [0.500, 0.500, 0.752]]
}

=====

Number 5 is which compound?
Pm3NdCd3